Record 1
GeAs3O: relaxed, PBEsol.

Structure (CIF):
```
data_GeAs3O
_space_group_name_H-M_alt 'P m -3 m'
_space_group_IT_number 221
_space_group_name_Hall '-P 4 2 3'
_cell_length_a 4.386
_cell_length_b 4.386
_cell_length_c 4.386
_cell_angle_alpha 90.00
_cell_angle_beta 90.00
_cell_angle_gamma 90.00
loop_
_atom_site_label
_atom_site_fract_x
_atom_site_fract_y
_atom_site_fract_z
Ge1 0.000 0.000 0.000
As1 0.000 0.500 0.500
O1 0.500 0.500 0.500
```

Raw formation energy (meV/atom): 260
Volume (Å³/atom): 16.88



Record 2
GeAs3O: relaxed, PBEsol.

Structure (CIF):
```
data_GeAs3O
_space_group_name_H-M_alt 'P m -3 m'
_space_group_IT_number 221
_space_group_name_Hall '-P 4 2 3'
_cell_length_a 4.838
_cell_length_b 4.838
_cell_length_c 4.838
_cell_angle_alpha 90.00
_cell_angle_beta 90.00
_cell_angle_gamma 90.00
loop_
_atom_site_label
_atom_site_fract_x
_atom_site_fract_y
_atom_site_fract_z
Ge1 0.000 0.000 0.000
As1 0.000 0.000 0.500
O1 0.500 0.500 0.500
```

Raw formation energy (meV/atom): 1287
Volume (Å³/atom): 22.64



Record 3
Ge2As2O7: relaxed, PBEsol.

Structure (CIF):
```
data_Ge2As2O7
_space_group_name_H-M_alt 'P -1'
_space_group_IT_number 2
_space_group_name_Hall '-P 1'
_cell_length_a 7.021
_cell_length_b 7.081
_cell_length_c 12.586
_cell_angle_alpha 91.47
_cell_angle_beta 95.48
_cell_angle_gamma 92.51
loop_
_atom_site_label
_atom_site_fract_x
_atom_site_fract_y
_atom_site_fract_z
Ge1 0.069 0.098 0.384
Ge2 0.269 0.637 0.901
Ge3 0.322 0.480 0.683
Ge4 0.340 0.872 0.117
As1 0.080 0.241 0.836
As2 0.166 0.276 0.155
As3 0.169 0.679 0.462
As4 0.403 0.039 0.659
O1 0.050 0.299 0.470
O2 0.089 0.792 0.859
O3 0.096 0.405 0.724
O4 0.143 0.025 0.670
O5 0.159 0.423 0.939
O6 0.178 0.723 0.179
O7 0.213 0.936 0.458
O8 0.215 0.158 0.283
O9 0.227 0.077 0.074
O10 0.318 0.660 0.589
O11 0.416 0.747 0.007
O12 0.429 0.596 0.802
O13 0.438 0.290 0.629
O14 0.442 0.082 0.804
```

Raw formation energy (meV/atom): -1386
Volume (Å³/atom): 14.14